# 1
This record from the Alexandria database describes Pa2TaW after structural relaxation. The functional is GGA-PBE.

Geometry as extended XYZ:
```
12
Lattice="2.995 0.000 0.000 -1.498 2.594 0.000 0.000 0.000 33.177" Properties=species:S:1:pos:R:3 pbc="T T T"
Pa 0.000 0.000 2.819
Pa 0.000 0.000 30.358
Pa 0.000 1.729 19.299
Pa 0.000 1.729 24.936
Pa 1.498 0.865 8.240
Pa 1.498 0.865 13.878
Ta 0.000 0.000 16.588
Ta 0.000 1.729 5.529
Ta 1.498 0.865 27.647
W 0.000 0.000 0.000
W 0.000 1.729 22.118
W 1.498 0.865 11.059
```

Properties
**ρ**: 16.0 g/cm³
**Symmetry**: R-3m
**ΔE_f**: 0.6197 eV/atom

# 2
This record from the Alexandria database describes PaTaZn after structural relaxation. The functional is GGA-PBE.

Geometry as extended XYZ:
```
3
Lattice="4.895 0.000 0.000 -2.447 4.239 0.000 0.000 0.000 2.944" Properties=species:S:1:pos:R:3 pbc="T T T"
Pa 0.000 0.000 0.000
Ta 2.448 1.413 1.472
Zn 0.000 2.826 1.472
```

Properties
**ρ**: 13.0 g/cm³
**Energy above the lowest structure with this stoichiometry**: 0.173 eV per atom
**Symmetry**: P-6m2
**ΔE_f**: 0.2406 eV/atom

# 3
This record from the Alexandria database describes PaTaZn after structural relaxation. The functional is GGA-PBE.

Geometry as extended XYZ:
```
6
Lattice="2.963 0.000 0.000 0.000 2.963 0.000 0.000 0.000 13.382" Properties=species:S:1:pos:R:3 pbc="T T T"
Pa 0.000 0.000 0.000
Pa 1.481 1.481 6.691
Ta 0.000 0.000 9.126
Ta 1.481 1.481 2.435
Zn 0.000 0.000 4.352
Zn 1.481 1.481 11.043
```

Properties
**ρ**: 13.5 g/cm³
**Energy above the lowest structure with this stoichiometry**: 0.000 eV per atom
**Symmetry**: I4mm
**ΔE_f**: 0.0679 eV/atom

# 4
This record from the Alexandria database describes PaTaZn2 after structural relaxation. The functional is GGA-PBE.

Geometry as extended XYZ:
```
12
Lattice="2.977 0.000 0.000 -1.489 2.579 0.000 0.000 0.000 29.564" Properties=species:S:1:pos:R:3 pbc="T T T"
Pa 0.000 0.000 0.000
Pa 0.000 1.719 19.710
Pa 1.489 0.860 9.855
Ta 0.000 0.000 14.782
Ta 0.000 1.719 4.927
Ta 1.489 0.860 24.637
Zn 0.000 0.000 7.213
Zn 0.000 0.000 22.351
Zn 0.000 1.719 12.496
Zn 0.000 1.719 26.923
Zn 1.489 0.860 2.641
Zn 1.489 0.860 17.068
```

Properties
**ρ**: 11.9 g/cm³
**Symmetry**: R-3m
**ΔE_f**: 0.1379 eV/atom